(1)
This record from Alexandria via LeMat-Bulk describes TiPb after structural relaxation. The functional is PBE.

It has space group P2_12_12_1 (No. 19), with a = 5.685 Å, b = 6.227 Å, c = 9.966 Å, α = 90.00°, β = 90.00° and γ = 90.00°. The inequivalent atoms are Ti at (0.156, 0.020, 0.167), Ti at (0.180, 0.484, 0.665), Pb at (0.168, 0.297, 0.916) and Pb at (0.186, 0.201, 0.419).

For the energy of formation, the calculation gives 0.17 eV/atom.

(2)
This record from Alexandria via LeMat-Bulk describes Y3SiRu after structural relaxation. The functional is PBE.

It has space group Pm-3m (No. 221), with a = 5.228 Å, b = 5.228 Å, c = 5.228 Å, α = 90.00°, β = 90.00° and γ = 90.00°. The inequivalent atoms are Y at (0.000, 0.000, 0.500), Si at (0.500, 0.500, 0.500) and Ru at (0.000, 0.000, 0.000).

The raw formation energy is 21 meV per atom. As for the energy above the most stable polymorph in this dataset: 0.00 kJ/mol of atoms.